[1]
Compound: Ac2NdRh
Source: the Alexandria database
Functional: PBE
Structure: relaxed

abc: 3.7903 3.7903 9.2603
angles: 90.00 90.00 90.00
With the nearest neighbours (Å) after each atom.
Positions (direct):
Rh1 0.5000 0.5000 0.0000  8 Ac 3.21
Ac1 0.0000 0.0000 0.8095  4 Rh 3.21, 1 Ac 3.53
Ac2 0.0000 0.0000 0.1905  4 Rh 3.21, 1 Ac 3.53
Nd1 0.5000 0.5000 0.5000  4 Nd 3.79, 8 Ac 3.92

Values from the calculation:
* formation enthalpy at 0 K: -0.227 eV per atom
* space group: No. 123
* E_tot: -5.31 eV/atom

***

[2]
Compound: Pu2GaGe4Pt3
Source: the Alexandria database
Functional: PBE
Structure: relaxed

abc: 4.2789 4.2789 10.5221
angles: 90.00 90.00 90.00
With the nearest neighbours (Å) after each atom.
Positions (direct):
Pu1 0.5000 0.0000 0.2513  8 Ge 3.23-3.40, 6 Pt 3.30-3.38, 2 Ga 3.38
Pu2 0.0000 0.5000 0.7487  8 Ge 3.23-3.40, 6 Pt 3.30-3.38, 2 Ga 3.38
Ga1 0.5000 0.5000 0.5000  4 Ge 2.60
Ge1 0.5000 0.5000 0.0000  4 Pt 2.52
Ge2 0.0000 0.0000 0.0000  4 Pt 2.52
Ge3 0.5000 0.0000 0.6412  3 Pt 2.44-2.60, 2 Ga 2.60
Ge4 0.0000 0.5000 0.3588  3 Pt 2.44-2.60, 2 Ga 2.60
Pt1 0.0000 0.0000 0.5000  4 Ge 2.60
Pt2 0.5000 0.0000 0.8735  5 Ge 2.44-2.52
Pt3 0.0000 0.5000 0.1265  5 Ge 2.44-2.52

Values from the calculation:
* formation enthalpy at 0 K: -0.608 eV per atom
* space group: No. 115
* E_tot: -7.44 eV/atom

***

[3]
Compound: Na2CaReSb
Source: the Alexandria database
Functional: PBE
Structure: relaxed

abc: 5.3159 5.0960 5.3159
angles: 90.00 90.00 90.00
With the nearest neighbours (Å) after each atom.
Positions (direct):
Re1 0.0000 0.5000 0.0000  2 Ca 2.55
Ca1 0.0000 0.0000 0.0000  2 Re 2.55, 4 Na 2.66
Na1 0.0000 0.0000 0.5000  2 Ca 2.66
Na2 0.5000 0.0000 0.0000  2 Ca 2.66
Sb1 0.5000 0.5000 0.5000  8 Na 3.68, 4 Re 3.76

Values from the calculation:
* space group: No. 123
* raw formation energy: 1.445 eV per atom
* E_tot: -2.80 eV/atom

***

[4]
Compound: Np2V
Source: the Alexandria database
Functional: PBE
Structure: relaxed

abc: 3.4186 3.4186 5.3073
angles: 113.27 113.27 79.05
With the nearest neighbours (Å) after each atom.
Positions (direct):
Np1 0.2303 0.2303 0.3656  3 Np 2.44-2.55
Np2 0.7697 0.7697 0.6344  3 Np 2.44-2.55
V1 0.5000 0.5000 0.0000  8 Np 2.75-2.94

Values from the calculation:
* formation enthalpy at 0 K: 0.216 eV per atom
* space group: No. 12
* E_tot: -11.45 eV/atom

***

[5]
Compound: FePCSe
Source: the Alexandria database
Functional: PBE
Structure: relaxed

abc: 2.7856 2.7564 15.8021
angles: 90.00 90.00 90.00
With the nearest neighbours (Å) after each atom.
Positions (direct):
P1 0.5000 0.0000 0.5702  2 C 1.88
P2 0.5000 0.5000 0.0702  2 C 1.88
C1 0.5000 0.0000 0.1510  2 P 1.88, 4 Fe 2.05
C2 0.5000 0.5000 0.6510  2 P 1.88, 4 Fe 2.05
Fe1 0.0000 0.0000 0.6889  4 C 2.05
Fe2 0.0000 0.5000 0.1889  4 C 2.05
Se1 0.0000 0.0000 0.8394  1 Fe 2.38
Se2 0.0000 0.5000 0.3394  1 Fe 2.38

Values from the calculation:
* space group: No. 38
* raw formation energy: 0.354 eV per atom
* E_tot: -6.29 eV/atom

***

[6]
Compound: Al2NiBr
Source: the Alexandria database
Functional: PBE
Structure: relaxed

abc: 4.1707 4.1346 4.1346
angles: 90.00 90.00 90.00
With the nearest neighbours (Å) after each atom.
Positions (direct):
Ni1 0.5000 0.0000 0.5000  4 Br 2.92, 8 Al 2.94
Al1 0.0000 0.0000 0.0000  4 Al 2.92, 4 Br 2.94, 4 Ni 2.94
Al2 0.0000 0.5000 0.5000  4 Al 2.92, 4 Br 2.94, 4 Ni 2.94
Br1 0.5000 0.5000 0.0000  4 Ni 2.92, 8 Al 2.94

Values from the calculation:
* space group: No. 123
* raw formation energy: 0.508 eV per atom
* E_tot: -3.23 eV/atom

***

[7]
Compound: PmY4Rh
Source: the Alexandria database
Functional: PBE
Structure: relaxed

abc: 5.5999 7.5184 9.6676
angles: 90.00 106.83 90.00
With the nearest neighbours (Å) after each atom.
Positions (direct):
Pm1 0.8833 0.7806 0.7666  12 Y 3.72-4.01
Pm2 0.1167 0.2806 0.2334  12 Y 3.72-4.01
Y1 0.8833 0.2806 0.7664  2 Rh 2.81-2.82
Y2 0.1167 0.7806 0.2336  2 Rh 2.81-2.82
Y3 0.4999 0.0304 0.9998  2 Rh 2.65
Y4 0.5001 0.5304 0.0002  2 Rh 2.65
Y5 0.7029 0.5270 0.4058  1 Rh 2.68
Y6 0.2971 0.0270 0.5942  1 Rh 2.68
Y7 0.7028 0.0343 0.4056  1 Rh 2.68
Y8 0.2972 0.5343 0.5944  1 Rh 2.68
Rh1 0.6012 0.7806 0.2025  6 Y 2.65-2.82
Rh2 0.3988 0.2806 0.7975  6 Y 2.65-2.82

Values from the calculation:
* formation enthalpy at 0 K: -0.182 eV per atom
* space group: No. 63
* E_tot: -6.51 eV/atom

***

[8]
Compound: LuGaCoIr
Source: the Alexandria database
Functional: PBE
Structure: relaxed

abc: 4.4482 4.4482 4.4482
angles: 60.00 60.00 60.00
With the nearest neighbours (Å) after each atom.
Positions (direct):
Co1 0.0000 0.0000 0.0000  4 Ga 2.72, 4 Lu 2.72
Ir1 0.5000 0.5000 0.5000  4 Ga 2.72, 4 Lu 2.72
Lu1 0.7500 0.7500 0.7500  4 Ir 2.72, 4 Co 2.72
Ga1 0.2500 0.2500 0.2500  4 Co 2.72, 4 Ir 2.72

Values from the calculation:
* formation enthalpy at 0 K: -0.507 eV per atom
* space group: No. 216
* E_tot: -6.39 eV/atom

***

[9]
Compound: Sr2MgNi4Ge3
Source: the Alexandria database
Functional: PBE
Structure: relaxed

abc: 4.2355 4.2355 10.1247
angles: 90.00 90.00 90.00
With the nearest neighbours (Å) after each atom.
Positions (direct):
Sr1 0.5000 0.0000 0.2412  8 Ni 3.23, 6 Ge 3.25-3.37, 2 Mg 3.37
Sr2 0.0000 0.5000 0.7588  8 Ni 3.23, 6 Ge 3.25-3.37, 2 Mg 3.37
Mg1 0.5000 0.5000 0.5000  4 Ni 2.55
Ni1 0.5000 0.5000 0.0000  4 Ge 2.42
Ni2 0.0000 0.0000 0.0000  4 Ge 2.42
Ni3 0.5000 0.0000 0.6403  3 Ge 2.47-2.55, 2 Mg 2.55
Ni4 0.0000 0.5000 0.3597  3 Ge 2.47-2.55, 2 Mg 2.55
Ge1 0.0000 0.0000 0.5000  4 Ni 2.55
Ge2 0.5000 0.0000 0.8839  5 Ni 2.42-2.47
Ge3 0.0000 0.5000 0.1161  5 Ni 2.42-2.47

Values from the calculation:
* formation enthalpy at 0 K: -0.417 eV per atom
* space group: No. 115
* E_tot: -4.61 eV/atom

***

[10]
Compound: HfHgAu
Source: the Alexandria database
Functional: PBE
Structure: relaxed

abc: 3.2492 3.2492 6.1933
angles: 105.21 105.21 90.00
With the nearest neighbours (Å) after each atom.
Positions (direct):
Au1 0.3262 0.3262 0.6525  4 Hf 2.88, 4 Hg 3.04
Hf1 0.6746 0.6746 0.3491  4 Au 2.88, 4 Hg 3.06
Hg1 0.9992 0.9992 0.9984  4 Au 3.04, 4 Hf 3.06, 4 Hg 3.25

Values from the calculation:
* formation enthalpy at 0 K: -0.206 eV per atom
* space group: No. 107
* E_tot: -4.72 eV/atom

***

[11]
Compound: AlHg2Os
Source: the Alexandria database
Functional: PBE
Structure: relaxed

abc: 3.1279 3.1596 7.9373
angles: 78.33 90.00 90.00
With the nearest neighbours (Å) after each atom.
Positions (direct):
Os1 0.0000 0.4178 0.5474  4 Al 2.50
Hg1 0.0000 0.1998 0.9625  6 Hg 3.03-3.16, 4 Al 3.04-3.06, 1 Os 3.23
Hg2 0.5000 0.0399 0.2961  4 Os 2.95-2.97, 6 Hg 3.03-3.16, 1 Al 3.09
Al1 0.5000 0.8425 0.6940  4 Os 2.50

Values from the calculation:
* formation enthalpy at 0 K: 0.251 eV per atom
* space group: No. 6
* E_tot: -3.64 eV/atom

***

[12]
Compound: ZrCr3Ga
Source: the Alexandria database
Functional: PBE
Structure: relaxed

abc: 4.7883 4.7883 4.7883
angles: 90.00 90.00 90.00
With the nearest neighbours (Å) after each atom.
Positions (direct):
Cr1 0.0000 0.5000 0.0000  2 Zr 2.39
Cr2 0.0000 0.0000 0.5000  2 Zr 2.39
Cr3 0.5000 0.0000 0.0000  2 Zr 2.39
Ga1 0.5000 0.5000 0.5000  12 Cr 3.39
Zr1 0.0000 0.0000 0.0000  6 Cr 2.39

Values from the calculation:
* formation enthalpy at 0 K: 1.675 eV per atom
* space group: No. 221
* E_tot: -6.41 eV/atom